# 1
# Zn

A geometry-optimized Zn structure (GGA-PBEsol, Alexandria).

Calculated values
Energy relative to the lowest polymorph listed for this composition = 0.103 eV per atom
Space group = P6/mmm
Total moment = 0.0 μB/f.u.

abc: 4.322 4.322 2.692
angles: 90.00 90.00 120.00
Atoms (fractional coordinates):
Zn  0.000  0.000  0.000
Zn  0.333  0.667  0.500
Zn  0.667  0.333  0.500

# 2
# InOsSe2Br

A geometry-optimized InOsSe2Br structure (GGA-PBEsol, Alexandria).

Calculated values
Space group = P4/mmm
Formation energy (no corrections) = 0.2572 eV per atom
Total moment = 0.0 μB/f.u.

abc: 4.770 4.770 5.403
angles: 90.00 90.00 90.00
Atoms (fractional coordinates):
In  0.000  0.000  0.000
Os  0.500  0.500  0.500
Se  0.000  0.500  0.500
Se  0.500  0.000  0.500
Br  0.500  0.500  0.000

# 3
# NbGaIr2Au

A geometry-optimized NbGaIr2Au structure (GGA-PBEsol, Alexandria).

Calculated values
Space group = P4/mmm
Energy = -5.8101 eV per atom
Total moment = 1.2 μB/f.u.

abc: 4.853 4.853 4.404
angles: 90.00 90.00 90.00
Atoms (fractional coordinates):
Nb  0.000  0.000  0.000
Ga  0.500  0.500  0.000
Ir  0.000  0.500  0.500
Ir  0.500  0.000  0.500
Au  0.500  0.500  0.500

# 4
# MgZr2Mn2

A geometry-optimized MgZr2Mn2 structure (GGA-PBEsol, Alexandria).

Calculated values
Space group = I4/mmm
Energy = -7.5899 eV per atom
Total moment = 0.0 μB/f.u.

abc: 3.109 3.109 18.701
angles: 90.00 90.00 90.00
Atoms (fractional coordinates):
Mg  0.000  0.000  0.000
Mg  0.500  0.500  0.500
Zr  0.000  0.000  0.373
Zr  0.000  0.000  0.627
Zr  0.500  0.500  0.127
Zr  0.500  0.500  0.873
Mn  0.000  0.500  0.250
Mn  0.000  0.500  0.750
Mn  0.500  0.000  0.250
Mn  0.500  0.000  0.750

# 5
# TlCdRu2

A geometry-optimized TlCdRu2 structure (GGA-PBEsol, Alexandria).

Calculated values
Space group = R-3m
Energy = -5.4228 eV per atom
Total moment = 0.0 μB/f.u.

abc: 2.962 2.962 26.396
angles: 90.00 90.00 120.00
Atoms (fractional coordinates):
Tl  0.000  0.000  0.000
Tl  0.333  0.667  0.667
Tl  0.667  0.333  0.333
Cd  0.000  0.000  0.500
Cd  0.333  0.667  0.167
Cd  0.667  0.333  0.833
Ru  0.000  0.000  0.250
Ru  0.000  0.000  0.750
Ru  0.333  0.667  0.416
Ru  0.333  0.667  0.917
Ru  0.667  0.333  0.083
Ru  0.667  0.333  0.584

# 6
# LaMo2Ir

A geometry-optimized LaMo2Ir structure (GGA-PBEsol, Alexandria).

Calculated values
Energy relative to the lowest polymorph listed for this composition = 0.000 eV per atom
Space group = Pmmm
Total moment = 0.0 μB/f.u.

abc: 2.798 3.756 7.174
angles: 90.00 90.00 90.00
Atoms (fractional coordinates):
La  0.000  0.000  0.000
Mo  0.500  0.500  0.319
Mo  0.500  0.500  0.681
Ir  0.000  0.000  0.500

# 7
# TaCo2Ru

A geometry-optimized TaCo2Ru structure (GGA-PBEsol, Alexandria).

Calculated values
Energy relative to the lowest polymorph listed for this composition = 0.050 eV per atom
Space group = I4/mmm
Total moment = 0.0 μB/f.u.

abc: 3.687 3.687 7.370
angles: 90.00 90.00 90.00
Atoms (fractional coordinates):
Ta  0.000  0.000  0.000
Ta  0.500  0.500  0.500
Co  0.000  0.500  0.250
Co  0.000  0.500  0.750
Co  0.500  0.000  0.250
Co  0.500  0.000  0.750
Ru  0.000  0.000  0.500
Ru  0.500  0.500  0.000

# 8
# MoW5

A geometry-optimized MoW5 structure (GGA-PBEsol, Alexandria).

Calculated values
Space group = P4/mmm
Energy = -13.4647 eV per atom
Total moment = 0.0 μB/f.u.

abc: 3.149 3.149 9.444
angles: 90.00 90.00 90.00
Atoms (fractional coordinates):
Mo  0.000  0.000  0.000
W  0.000  0.000  0.333
W  0.000  0.000  0.667
W  0.500  0.500  0.166
W  0.500  0.500  0.500
W  0.500  0.500  0.834

# 9
# LaGaBi2

A geometry-optimized LaGaBi2 structure (GGA-PBEsol, Alexandria).

Calculated values
Space group = P6/mmm
Energy = -4.9150 eV per atom
Total moment = 0.0 μB/f.u.

abc: 13.485 13.485 4.361
angles: 90.00 90.00 120.00
Atoms (fractional coordinates):
La  0.226  0.451  0.000
La  0.226  0.774  0.000
La  0.451  0.226  0.000
La  0.549  0.774  0.000
La  0.774  0.226  0.000
La  0.774  0.549  0.000
Ga  0.000  0.182  0.000
Ga  0.000  0.818  0.000
Ga  0.182  0.000  0.000
Ga  0.182  0.182  0.000
Ga  0.818  0.000  0.000
Ga  0.818  0.818  0.000
Bi  0.000  0.000  0.500
Bi  0.000  0.325  0.500
Bi  0.000  0.500  0.000
Bi  0.000  0.675  0.500
Bi  0.325  0.000  0.500
Bi  0.325  0.325  0.500
Bi  0.333  0.667  0.500
Bi  0.500  0.000  0.000
Bi  0.500  0.500  0.000
Bi  0.667  0.333  0.500
Bi  0.675  0.000  0.500
Bi  0.675  0.675  0.500

# 10
# ScFeBi2H

A geometry-optimized ScFeBi2H structure (GGA-PBEsol, Alexandria).

Calculated values
Space group = P4/mmm
Energy = -5.4480 eV per atom
Total moment = 1.6 μB/f.u.

abc: 5.126 5.126 3.357
angles: 90.00 90.00 90.00
Atoms (fractional coordinates):
Sc  0.000  0.000  0.000
Fe  0.500  0.500  0.000
Bi  0.000  0.500  0.500
Bi  0.500  0.000  0.500
H  0.500  0.500  0.500

# 11
# TePtSe

A geometry-optimized TePtSe structure (GGA-PBEsol, Alexandria).

Calculated values
Space group = P3m1
Formation energy (no corrections) = -0.4032 eV per atom
Total moment = 0.0 μB/f.u.

abc: 3.914 3.914 4.925
angles: 90.00 90.00 120.00
Atoms (fractional coordinates):
Te  0.000  0.000  0.000
Pt  0.333  0.667  0.720
Se  0.667  0.333  0.470

# 12
# SrPCl2

A geometry-optimized SrPCl2 structure (GGA-PBEsol, Alexandria).

Calculated values
Energy relative to the lowest polymorph listed for this composition = 0.296 eV per atom
Space group = F-43m
Formation energy (no corrections) = -0.6460 eV per atom
Total moment = 3.0 μB/f.u.

abc: 7.271 7.271 7.271
angles: 90.00 90.00 90.00
Atoms (fractional coordinates):
Sr  0.000  0.000  0.000
Sr  0.000  0.500  0.500
Sr  0.500  0.000  0.500
Sr  0.500  0.500  0.000
P  0.250  0.250  0.750
P  0.250  0.750  0.250
P  0.750  0.250  0.250
P  0.750  0.750  0.750
Cl  0.000  0.000  0.500
Cl  0.000  0.500  0.000
Cl  0.250  0.250  0.250
Cl  0.250  0.750  0.750
Cl  0.500  0.000  0.000
Cl  0.500  0.500  0.500
Cl  0.750  0.250  0.750
Cl  0.750  0.750  0.250